The following is a DFT calculation (PBE) of ZrFeTc2 after structural relaxation.

Summary:
* distance to the lowest polymorph of the same formula: 1.07 eV/f.u.
* symmetry: R3m
* V: 15.825 Å³ per atom
* formation enthalpy at 0 K: 235 meV per atom
* D(E_F): 3.69 states/eV/cell

a = 9.425 Å, b = 9.425 Å, c = 9.425 Å
α = 17.12°, β = 17.12°, γ = 17.12°
Site moments in Bohr magnetons follow the coordinates.
Atoms (fractional coordinates):
Fe: 0.744 0.744 0.744  2.52
Tc: 0.258 0.258 0.258  0.02
Tc: 0.000 0.000 0.000  0.07
Zr: 0.498 0.498 0.498  -0.02